# AuSeN2O, optimized geometry, DFT GGA-PBE
data_AuSeN2O
_cell_length_a 4.091
_cell_length_b 4.091
_cell_length_c 4.008
_cell_angle_alpha 90.00
_cell_angle_beta 90.00
_cell_angle_gamma 90.00
_symmetry_space_group_name_H-M 'P 4/m m m'
_symmetry_Int_Tables_number 123
_symmetry_space_group_name_Hall '-P 4 2'
loop_
_atom_site_label
_atom_site_fract_x
_atom_site_fract_y
_atom_site_fract_z
Au1 0.000 0.000 0.000
Se1 0.500 0.500 0.500
N1 0.000 0.500 0.000
O1 0.000 0.000 0.500
# E, eV per atom: -3.754
# ΔE_f (raw), eV per atom: 1.920
# Size of the total moment, μB/f.u.: 0.7

# AuSeN2O, optimized geometry, DFT GGA-PBE
data_AuSeN2O
_cell_length_a 3.863
_cell_length_b 3.863
_cell_length_c 6.092
_cell_angle_alpha 90.00
_cell_angle_beta 90.00
_cell_angle_gamma 90.00
_symmetry_space_group_name_H-M 'P 4/m m m'
_symmetry_Int_Tables_number 123
_symmetry_space_group_name_Hall '-P 4 2'
loop_
_atom_site_label
_atom_site_fract_x
_atom_site_fract_y
_atom_site_fract_z
Au1 0.000 0.000 0.000
Se1 0.000 0.000 0.500
N1 0.000 0.500 0.000
O1 0.500 0.500 0.500
# E, eV per atom: -3.585
# ΔE_f (raw), eV per atom: 2.089
# Size of the total moment, μB/f.u.: 3.9

# AuSeN2O, optimized geometry, DFT GGA-PBE
data_AuSeN2O
_cell_length_a 3.921
_cell_length_b 3.921
_cell_length_c 4.193
_cell_angle_alpha 90.00
_cell_angle_beta 90.00
_cell_angle_gamma 90.00
_symmetry_space_group_name_H-M 'P 4/m m m'
_symmetry_Int_Tables_number 123
_symmetry_space_group_name_Hall '-P 4 2'
loop_
_atom_site_label
_atom_site_fract_x
_atom_site_fract_y
_atom_site_fract_z
Au1 0.000 0.000 0.000
Se1 0.500 0.500 0.000
N1 0.000 0.500 0.500
O1 0.500 0.500 0.500
# E, eV per atom: -3.530
# ΔE_f (raw), eV per atom: 2.145
# Size of the total moment, μB/f.u.: 2.9

# SiAuNO2, optimized geometry, DFT GGA-PBE
data_SiAuNO2
_cell_length_a 3.407
_cell_length_b 3.407
_cell_length_c 4.340
_cell_angle_alpha 90.00
_cell_angle_beta 90.00
_cell_angle_gamma 90.00
_symmetry_space_group_name_H-M 'P 4/m m m'
_symmetry_Int_Tables_number 123
_symmetry_space_group_name_Hall '-P 4 2'
loop_
_atom_site_label
_atom_site_fract_x
_atom_site_fract_y
_atom_site_fract_z
Si1 0.000 0.000 0.000
Au1 0.500 0.500 0.500
N1 0.000 0.000 0.500
O1 0.000 0.500 0.000
# E, eV per atom: -5.706
# ΔE_f (raw), eV per atom: -0.318
# Size of the total moment, μB/f.u.: 0.7

# SiAuNO2, optimized geometry, DFT GGA-PBE
data_SiAuNO2
_cell_length_a 4.195
_cell_length_b 4.195
_cell_length_c 3.835
_cell_angle_alpha 90.00
_cell_angle_beta 90.00
_cell_angle_gamma 90.00
_symmetry_space_group_name_H-M 'P 4/m m m'
_symmetry_Int_Tables_number 123
_symmetry_space_group_name_Hall '-P 4 2'
loop_
_atom_site_label
_atom_site_fract_x
_atom_site_fract_y
_atom_site_fract_z
Si1 0.000 0.000 0.000
Au1 0.500 0.500 0.500
N1 0.500 0.500 0.000
O1 0.000 0.500 0.500
# E, eV per atom: -4.270
# ΔE_f (raw), eV per atom: 1.119
# Size of the total moment, μB/f.u.: 0.4

# SnAuNO2, optimized geometry, DFT GGA-PBE
data_SnAuNO2
_cell_length_a 4.017
_cell_length_b 4.017
_cell_length_c 4.292
_cell_angle_alpha 90.00
_cell_angle_beta 90.00
_cell_angle_gamma 90.00
_symmetry_space_group_name_H-M 'P 4/m m m'
_symmetry_Int_Tables_number 123
_symmetry_space_group_name_Hall '-P 4 2'
loop_
_atom_site_label
_atom_site_fract_x
_atom_site_fract_y
_atom_site_fract_z
Sn1 0.000 0.000 0.000
Au1 0.500 0.500 0.500
N1 0.000 0.000 0.500
O1 0.000 0.500 0.000
# E, eV per atom: -4.684
# ΔE_f (raw), eV per atom: 0.420
# Size of the total moment, μB/f.u.: 0.0

# SnAuNO2, optimized geometry, DFT GGA-PBE
data_SnAuNO2
_cell_length_a 4.259
_cell_length_b 4.259
_cell_length_c 3.949
_cell_angle_alpha 90.00
_cell_angle_beta 90.00
_cell_angle_gamma 90.00
_symmetry_space_group_name_H-M 'P 4/m m m'
_symmetry_Int_Tables_number 123
_symmetry_space_group_name_Hall '-P 4 2'
loop_
_atom_site_label
_atom_site_fract_x
_atom_site_fract_y
_atom_site_fract_z
Sn1 0.000 0.000 0.000
Au1 0.500 0.500 0.500
N1 0.500 0.500 0.000
O1 0.000 0.500 0.500
# E, eV per atom: -4.486
# ΔE_f (raw), eV per atom: 0.619
# Size of the total moment, μB/f.u.: 1.2

# TaAuN2O, optimized geometry, DFT GGA-PBE
data_TaAuN2O
_cell_length_a 3.990
_cell_length_b 3.990
_cell_length_c 3.970
_cell_angle_alpha 90.00
_cell_angle_beta 90.00
_cell_angle_gamma 90.00
_symmetry_space_group_name_H-M 'P 4/m m m'
_symmetry_Int_Tables_number 123
_symmetry_space_group_name_Hall '-P 4 2'
loop_
_atom_site_label
_atom_site_fract_x
_atom_site_fract_y
_atom_site_fract_z
Ta1 0.000 0.000 0.000
Au1 0.500 0.500 0.500
N1 0.000 0.500 0.500
O1 0.500 0.500 0.000
# E, eV per atom: -5.805
# ΔE_f (raw), eV per atom: 1.543
# Size of the total moment, μB/f.u.: 0.0

# TaAuN2O, optimized geometry, DFT GGA-PBE
data_TaAuN2O
_cell_length_a 4.156
_cell_length_b 4.156
_cell_length_c 3.906
_cell_angle_alpha 90.00
_cell_angle_beta 90.00
_cell_angle_gamma 90.00
_symmetry_space_group_name_H-M 'P 4/m m m'
_symmetry_Int_Tables_number 123
_symmetry_space_group_name_Hall '-P 4 2'
loop_
_atom_site_label
_atom_site_fract_x
_atom_site_fract_y
_atom_site_fract_z
Ta1 0.000 0.000 0.000
Au1 0.500 0.500 0.500
N1 0.000 0.500 0.000
O1 0.000 0.000 0.500
# E, eV per atom: -7.321
# ΔE_f (raw), eV per atom: 0.027
# Size of the total moment, μB/f.u.: 1.2

# TcAuNO2, optimized geometry, DFT GGA-PBE
data_TcAuNO2
_cell_length_a 3.762
_cell_length_b 3.762
_cell_length_c 6.029
_cell_angle_alpha 90.00
_cell_angle_beta 90.00
_cell_angle_gamma 90.00
_symmetry_space_group_name_H-M 'P 4/m m m'
_symmetry_Int_Tables_number 123
_symmetry_space_group_name_Hall '-P 4 2'
loop_
_atom_site_label
_atom_site_fract_x
_atom_site_fract_y
_atom_site_fract_z
Tc1 0.000 0.000 0.000
Au1 0.000 0.000 0.500
N1 0.500 0.500 0.000
O1 0.000 0.500 0.500
# E, eV per atom: -4.710
# ΔE_f (raw), eV per atom: 1.667
# Size of the total moment, μB/f.u.: 3.9

# TcAuN2O, optimized geometry, DFT GGA-PBE
data_TcAuN2O
_cell_length_a 3.963
_cell_length_b 3.963
_cell_length_c 3.844
_cell_angle_alpha 90.00
_cell_angle_beta 90.00
_cell_angle_gamma 90.00
_symmetry_space_group_name_H-M 'P 4/m m m'
_symmetry_Int_Tables_number 123
_symmetry_space_group_name_Hall '-P 4 2'
loop_
_atom_site_label
_atom_site_fract_x
_atom_site_fract_y
_atom_site_fract_z
Tc1 0.000 0.000 0.000
Au1 0.500 0.500 0.500
N1 0.000 0.500 0.000
O1 0.000 0.000 0.500
# E, eV per atom: -6.409
# ΔE_f (raw), eV per atom: 0.642
# Size of the total moment, μB/f.u.: 0.2

# TcAuNO2, optimized geometry, DFT GGA-PBE
data_TcAuNO2
_cell_length_a 4.106
_cell_length_b 4.106
_cell_length_c 4.002
_cell_angle_alpha 90.00
_cell_angle_beta 90.00
_cell_angle_gamma 90.00
_symmetry_space_group_name_H-M 'P 4/m m m'
_symmetry_Int_Tables_number 123
_symmetry_space_group_name_Hall '-P 4 2'
loop_
_atom_site_label
_atom_site_fract_x
_atom_site_fract_y
_atom_site_fract_z
Tc1 0.000 0.000 0.000
Au1 0.500 0.500 0.500
N1 0.500 0.500 0.000
O1 0.000 0.500 0.500
# E, eV per atom: -5.045
# ΔE_f (raw), eV per atom: 1.332
# Size of the total moment, μB/f.u.: 3.9